# 1
This record from Alexandria describes a relaxed LiCdOs2 crystal. The functional is GGA-PBE.

total energy = -5.9364 eV per atom
energy relative to the elements = 386 meV/atom

Cell and atoms, written as extended XYZ:
```
4
Lattice="4.7479 -1.3718 0.0000 4.7479 1.3718 0.0000 -0.6581 0.0000 4.6860" Properties=species:S:1:pos:R:3 pbc="T T T"
Li 0.0000 0.0000 0.0000
Cd 4.4188 0.0000 2.3430
Os 1.8519 0.0000 3.5880
Os 6.9857 0.0000 1.0980
```

***

# 2
This record from Alexandria describes a relaxed CaTm2Cu2Ge2 crystal. The functional is GGA-PBE.

total energy = -4.5097 eV per atom
energy relative to the elements = -457 meV/atom

Cell and atoms, written as extended XYZ:
```
7
Lattice="2.1684 1.2519 9.1009 -2.1684 1.2519 9.1009 0.0000 -2.5038 9.1009" Properties=species:S:1:pos:R:3 pbc="T T T"
Ca 0.0000 0.0000 0.0000
Tm 0.0000 0.0000 3.4928
Tm 0.0000 0.0000 23.8100
Cu 0.0000 0.0000 11.1428
Cu 0.0000 0.0000 16.1600
Ge 0.0000 0.0000 6.9912
Ge 0.0000 0.0000 20.3116
```